1.
Density functional theory data (PBE with a Hubbard U) for a geometry-optimized LiCoOF structure.

Values from the calculation:
Electronic total energy in eV per atom: -5.28

Cell: 2.9871 2.9871 16.5380 Å, 90.00 90.00 90.00°
Last column: nearest neighbours and their distance in Å.
Space group P4/nmm (No. 129, origin choice 2)
Symmetry-distinct sites (fractional):
Li (0.2500, 0.2500, 0.0599) (multiplicity 2)  6 F 1.99-2.11
Li (0.2500, 0.2500, 0.8180) (multiplicity 2)  5 F 2.01-2.11, 1 O 2.03
Co (0.2500, 0.2500, 0.3178) (multiplicity 2)  5 O 2.04-2.12, 1 F 2.27
Co (0.2500, 0.2500, 0.5724) (multiplicity 2)  6 O 2.03-2.17
O (0.2500, 0.2500, 0.4411) (multiplicity 2)  6 Co 2.04-2.17
O (0.2500, 0.2500, 0.6953) (multiplicity 2)  1 Li 2.03, 5 Co 2.03-2.12
F (0.2500, 0.2500, 0.1807) (multiplicity 2)  5 Li 2.00-2.11
F (0.2500, 0.2500, 0.9396) (multiplicity 2)  6 Li 1.99-2.11



2.
Density functional theory data (PBE with a Hubbard U) for a geometry-optimized Li3CoO2F2 structure.

Values from the calculation:
Electronic total energy in eV per atom: -5.14

Cell: 5.0333 5.8765 5.0279 Å, 90.00 108.11 90.00°
Last column: nearest neighbours and their distance in Å.
Space group P2/c (No. 13)
Symmetry-distinct sites (fractional):
Li (0.0000, 0.1200, 0.2500) (multiplicity 2)  4 O 2.02-2.17, 2 F 2.14
Li (0.0000, 0.3572, 0.7500) (multiplicity 2)  4 F 2.02-2.15, 2 O 2.10
Li (0.5000, 0.3677, 0.2500) (multiplicity 2)  4 F 2.05-2.07, 2 O 2.10
Co (0.5000, 0.1023, 0.7500) (multiplicity 2)  4 O 1.90-1.92
O (0.2706, 0.1096, 0.9879) (multiplicity 4)  2 Co 1.90-1.92, 3 Li 2.02-2.10
F (0.2524, 0.3801, 0.5066) (multiplicity 4)  5 Li 2.02-2.15, 1 Co 2.18



3.
Density functional theory data (PBE with a Hubbard U) for a geometry-optimized LiCo6O2F10 structure.

Values from the calculation:
Electronic total energy in eV per atom: -5.10
Energy above the most stable polymorph in this dataset in meV/atom: 37.4

Cell: 4.8452 4.8477 9.3307 Å, 90.30 90.18 92.81°
Last column: nearest neighbours and their distance in Å.
Space group P1 (No. 1)
Symmetry-distinct sites (fractional):
Li (0.0000, 0.0000, 0.0000) (multiplicity 1)  3 F 1.83-1.86, 1 O 1.90
Co (0.0037, 0.5007, 0.6003) (multiplicity 1)  1 O 2.06, 5 F 2.07-2.13
Co (0.0113, 0.5008, 0.9163) (multiplicity 1)  2 O 1.82-1.87
Co (0.0169, 0.5013, 0.2542) (multiplicity 1)  1 O 2.00, 5 F 2.08-2.14
Co (0.4824, 0.9524, 0.1013) (multiplicity 1)  1 O 1.98, 5 F 2.02-2.16
Co (0.5091, 0.0023, 0.4306) (multiplicity 1)  6 F 2.04-2.10
Co (0.5334, 0.0326, 0.7595) (multiplicity 1)  1 O 1.90, 5 F 2.04-2.10
O (0.1636, 0.6856, 0.0768) (multiplicity 1)  3 Co 1.87-2.00, 1 Li 1.90
O (0.8271, 0.3065, 0.7751) (multiplicity 1)  2 Co 1.82-1.90
F (0.2010, 0.7005, 0.4304) (multiplicity 1)  3 Co 2.04-2.08
F (0.2202, 0.7319, 0.7618) (multiplicity 1)  3 Co 2.05-2.12
F (0.3039, 0.1849, 0.2603) (multiplicity 1)  3 Co 2.07-2.12
F (0.3131, 0.1937, 0.9315) (multiplicity 1)  1 Li 1.86
F (0.3287, 0.2190, 0.5974) (multiplicity 1)  3 Co 2.04-2.13
F (0.6923, 0.7843, 0.2644) (multiplicity 1)  3 Co 2.02-2.14
F (0.6993, 0.8049, 0.9228) (multiplicity 1)  1 Li 1.84
F (0.7145, 0.8141, 0.5971) (multiplicity 1)  3 Co 2.07-2.12
F (0.8034, 0.2608, 0.0918) (multiplicity 1)  1 Li 1.83
F (0.8203, 0.3022, 0.4256) (multiplicity 1)  3 Co 2.04-2.08



Number 1: spin magnetization 3.00 μB/f.u.. Number 2: spin magnetization 2.00 μB/f.u.. Number 3: spin magnetization 11.04 μB/f.u..